Here is crystalline Ca2Mg3Cd4 at its relaxed geometry from Alexandria. Energies are from GGA-PBE.

Results
Mass density: 4.526 Mg/m³
SG: No. 12
ΔE_f: -1.95 eV/f.u.

```
Ca2Mg3Cd4
1.0
-4.428 -2.605 0.085
-2.672 -0.425 4.368
-4.933 8.083 -2.092
Cd Mg Ca
4 3 2
Cartesian
-8.797 -0.195 3.706 Cd
-5.214 -1.221 2.759 Cd
-6.820 6.274 -0.398 Cd
-3.237 5.248 -1.345 Cd
-6.798 1.409 2.070 Mg
-5.236 3.644 0.292 Mg
0.000 0.000 0.000 Mg
-8.585 4.266 1.348 Ca
-3.449 0.787 1.013 Ca
```


Here is crystalline Ca4MgCd3 at its relaxed geometry from Alexandria. Energies are from GGA-PBE.

Results
Mass density: 3.748 Mg/m³
SG: No. 166
ΔE_f: -2.31 eV/f.u.

```
Ca4MgCd3
1.0
5.248 0.000 1.549
2.395 4.669 1.549
0.060 0.037 9.460
Ca Cd Mg
4 3 1
Cartesian
4.765 2.911 3.186 Ca
2.939 1.795 9.372 Ca
1.011 0.618 6.238 Ca
6.692 4.088 6.320 Ca
3.852 2.353 6.279 Cd
5.751 3.513 9.508 Cd
1.952 1.193 3.050 Cd
0.000 0.000 0.000 Mg
```


Here is crystalline Ca3Mg4Cd4 at its relaxed geometry from Alexandria. Energies are from GGA-PBE.

Results
Mass density: 3.491 Mg/m³
SG: No. 217
ΔE_f: -0.89 eV/f.u.

```
Ca3Mg4Cd4
1.0
7.442 0.000 0.000
-2.481 7.016 0.000
-2.481 -3.508 6.076
Mg Cd Ca
4 4 3
Cartesian
-0.625 -0.883 1.530 Mg
1.856 2.625 4.546 Mg
1.874 0.000 0.000 Mg
-0.625 1.767 0.000 Mg
-1.511 4.272 0.000 Cd
-1.511 -2.136 3.700 Cd
4.532 0.000 0.000 Cd
0.970 1.372 2.376 Cd
2.481 -1.754 3.038 Ca
2.481 3.508 0.000 Ca
-2.481 1.754 3.038 Ca
```


Here is crystalline Ca4Mg2Cd at its relaxed geometry from Alexandria. Energies are from GGA-PBE.

Results
Mass density: 2.261 Mg/m³
SG: No. 166
ΔE_f: -0.42 eV/f.u.

```
Ca4Mg2Cd
1.0
-1.100 5.444 0.298
-4.093 1.834 3.290
3.978 3.215 7.858
Cd Mg Ca
1 2 4
Cartesian
0.000 0.000 0.000 Cd
-0.831 7.881 8.679 Mg
-0.385 2.612 2.767 Mg
1.821 2.917 5.341 Ca
1.470 5.533 8.148 Ca
-3.036 7.576 6.105 Ca
-2.686 4.959 3.298 Ca
```


Here is crystalline CaMg4Cd at its relaxed geometry from Alexandria. Energies are from GGA-PBE.

Results
Mass density: 2.695 Mg/m³
SG: No. 216
ΔE_f: -0.12 eV/f.u.

```
CaMg4Cd
1.0
-2.170 -5.126 -2.280
-3.709 -3.417 3.279
-5.815 -0.407 -1.484
Mg Cd Ca
4 1 1
Cartesian
-5.470 -5.920 -1.322 Mg
-7.293 -3.560 -0.925 Mg
-6.239 -5.065 1.458 Mg
-4.384 -3.356 -0.182 Mg
0.000 0.000 0.000 Cd
-8.770 -6.713 -0.364 Ca
```


Here is crystalline CaMg2Cd at its relaxed geometry from Alexandria. Energies are from GGA-PBE.

Results
Mass density: 3.192 Mg/m³
SG: No. 12
ΔE_f: -0.20 eV/f.u.

```
CaMg2Cd
1.0
6.414 -0.047 0.016
-3.170 5.576 0.016
0.685 1.168 2.944
Mg Ca Cd
2 1 1
Cartesian
0.000 0.000 0.000 Mg
1.622 2.764 0.016 Mg
3.550 0.560 1.480 Ca
-1.242 3.372 1.480 Cd
```